Record 1
Li3Sn7 | Alexandria via LeMat-Bulk | PBE | optimized geometry; total energy = -0.2577 Ry per atom; E above lowest polymorph = 0.370 eV per formula unit; size of the total moment = 0.0 μB/f.u.; DFT formation energy = -0.130 eV/atom; calculated volume = 238.6 Å³/f.u.
1.0
9.158 0.000 0.000
-4.579 7.931 0.000
0.000 0.000 6.570
Li Sn
6 14
Cartesian
0.000 3.380 0.000
-1.652 6.241 0.000
2.927 1.690 3.285
1.652 6.241 0.000
6.230 1.690 3.285
4.579 4.551 3.285
-1.968 4.151 2.011
0.000 1.895 3.298
-2.938 6.983 3.298
1.641 0.947 0.013
0.000 5.287 4.309
1.968 4.151 2.011
0.000 7.560 2.011
4.579 0.371 5.296
2.611 3.780 5.296
4.579 2.644 1.024
2.938 6.983 3.298
7.517 0.947 0.013
4.579 6.036 0.013
6.547 3.780 5.296

---

Record 2
Cd3Ni | Alexandria via LeMat-Bulk | PBE | optimized geometry; total energy = -0.1555 Ry per atom; size of the total moment = 0.0 μB/f.u.; DFT formation energy = 0.017 eV/atom; calculated volume = 78.3 Å³/f.u.
1.0
7.619 0.000 0.000
0.000 8.118 0.000
0.000 0.000 5.062
Cd Ni
12 4
Cartesian
0.136 2.029 0.451
1.274 0.504 3.060
1.274 3.554 3.060
2.536 4.563 0.529
2.536 7.613 0.529
3.673 6.088 2.982
3.946 2.029 2.080
5.083 0.504 4.533
5.083 3.554 4.533
6.345 4.563 2.002
6.345 7.613 2.002
7.482 6.088 4.611
1.030 6.088 2.154
2.780 2.029 4.685
4.839 6.088 0.377
6.589 2.029 2.908

---

Record 3
AgPd2S6 | Alexandria via LeMat-Bulk | PBE | optimized geometry; total energy = -0.3109 Ry per atom; raw formation energy = -0.0075 eV per atom; size of the total moment = 0.0 μB/f.u.; calculated volume = 178.1 Å³/f.u.
1.0
6.740 0.000 0.000
-3.370 5.837 0.000
0.000 0.000 4.526
Ag Pd S
1 2 6
Cartesian
0.000 0.000 0.000
0.000 3.891 2.263
3.370 1.946 2.263
-1.379 2.388 0.837
-1.991 3.449 3.689
2.757 0.000 0.837
1.379 2.388 3.689
3.983 0.000 3.689
1.991 3.449 0.837

---

Record 4
GdZnCdAg | Alexandria via LeMat-Bulk | PBE | optimized geometry; total energy = -0.3730 Ry per atom; size of the total moment = 7.2 μB/f.u.; DFT formation energy = -0.294 eV/atom; calculated volume = 84.1 Å³/f.u.
1.0
0.000 3.478 3.478
3.478 0.000 3.478
3.478 3.478 0.000
Gd Zn Cd Ag
1 1 1 1
Cartesian
0.000 0.000 0.000
1.739 1.739 1.739
3.478 3.478 3.478
5.217 5.217 5.217

---

Record 5
SmLu3 | Alexandria via LeMat-Bulk | PBE | optimized geometry; total energy = -0.3272 Ry per atom; E above lowest polymorph = 0.454 eV per formula unit; size of the total moment = 0.0 μB/f.u.; DFT formation energy = 0.119 eV/atom; calculated volume = 122.9 Å³/f.u.
1.0
0.000 3.946 3.946
3.946 0.000 3.946
3.946 3.946 0.000
Sm Lu
1 3
Cartesian
0.000 0.000 0.000
1.973 1.973 1.973
3.946 3.946 3.946
5.919 5.919 5.919

---

Record 6
Cd2InHg7Pb2 | Alexandria via LeMat-Bulk | PBE | optimized geometry; total energy = -0.0830 Ry per atom; size of the total moment = 0.0 μB/f.u.; DFT formation energy = 0.046 eV/atom; calculated volume = 326.6 Å³/f.u.
1.0
3.298 -3.222 0.000
3.298 3.222 0.000
-2.547 0.000 15.366
Cd In Hg Pb
2 1 7 2
Cartesian
-0.279 0.000 2.856
4.328 0.000 12.510
2.025 0.000 7.683
-1.274 0.000 7.683
0.858 1.615 5.213
-1.026 0.000 15.226
3.191 1.615 10.152
0.858 -1.615 5.213
5.076 0.000 0.140
3.191 -1.615 10.152
1.065 0.000 12.748
2.984 0.000 2.617

---

Record 7
Ac3HoS6 | Alexandria via LeMat-Bulk | PBE | optimized geometry; total energy = -0.4645 Ry per atom; E above lowest polymorph = 0.000 eV per formula unit; raw formation energy = -2.1525 eV per atom; size of the total moment = 0.0 μB/f.u.; calculated volume = 312.7 Å³/f.u.
1.0
6.164 3.559 4.753
-6.164 3.559 4.753
0.000 -7.117 4.753
Ac Ho S
6 2 12
Cartesian
-4.214 -1.179 6.647
-1.086 -4.239 7.612
-3.128 3.060 7.612
3.128 -3.060 6.647
1.086 4.239 6.647
4.214 1.179 7.612
0.000 0.000 0.000
0.000 0.000 7.129
-4.027 -3.885 7.857
-5.378 1.545 6.402
-1.426 -1.908 5.731
1.351 -5.430 6.402
-2.365 0.281 8.528
-0.939 2.189 5.731
0.939 -2.189 8.528
2.365 -0.281 5.731
-1.351 5.430 7.857
1.426 1.908 8.528
5.378 -1.545 7.857
4.027 3.885 6.402

---

Record 8
RbSn4Pd | Alexandria via LeMat-Bulk | PBE | optimized geometry; total energy = -0.2900 Ry per atom; size of the total moment = 0.0 μB/f.u.; DFT formation energy = -0.250 eV/atom; calculated volume = 208.7 Å³/f.u.
1.0
9.046 -4.338 0.000
9.046 4.338 0.000
-1.723 0.000 5.319
Rb Sn Pd
2 8 2
Cartesian
3.212 0.000 1.044
13.157 0.000 4.275
6.626 1.838 2.157
9.046 2.450 0.000
5.039 0.000 4.576
9.743 1.838 3.162
6.626 -1.838 2.157
11.330 0.000 0.743
9.046 -2.450 0.000
9.743 -1.838 3.162
8.608 0.000 1.339
7.761 0.000 3.980

---

Record 9
KMn3 | Alexandria via LeMat-Bulk | PBE | optimized geometry; total energy = -0.4705 Ry per atom; E above lowest polymorph = 0.177 eV per formula unit; size of the total moment = 3.6 μB/f.u.; DFT formation energy = 0.750 eV/atom; calculated volume = 85.0 Å³/f.u.
1.0
2.805 0.000 0.000
0.000 3.907 0.000
0.000 0.000 7.758
K Mn
1 3
Cartesian
0.000 0.000 0.000
0.000 1.953 2.828
1.402 0.000 3.521
1.402 1.953 4.988

---

Record 10
Na3HfN | Alexandria via LeMat-Bulk | PBE | optimized geometry; total energy = -0.2456 Ry per atom; E above lowest polymorph = 0.000 eV per formula unit; raw formation energy = 1.1052 eV per atom; size of the total moment = 0.0 μB/f.u.; calculated volume = 109.4 Å³/f.u.
1.0
4.782 0.000 0.000
0.000 4.782 0.000
0.000 0.000 4.782
Na Hf N
3 1 1
Cartesian
0.000 0.000 2.391
0.000 2.391 0.000
2.391 0.000 0.000
2.391 2.391 2.391
0.000 0.000 0.000

---

Record 11
Na2GaHgO4 | Alexandria via LeMat-Bulk | PBE | optimized geometry; total energy = -0.3224 Ry per atom; raw formation energy = -1.1615 eV per atom; size of the total moment = 0.0 μB/f.u.; calculated volume = 99.9 Å³/f.u.
1.0
5.567 0.000 0.000
0.000 3.274 0.000
-1.605 0.000 5.481
Na Ga Hg O
2 1 1 4
Cartesian
0.000 0.000 0.000
2.784 1.637 0.000
-0.803 1.637 2.740
1.981 0.000 2.740
0.708 1.637 1.532
0.102 0.000 3.844
3.860 0.000 1.637
3.254 1.637 3.948

---

Record 12
Hf2MgIn3 | Alexandria via LeMat-Bulk | PBE | optimized geometry; total energy = -0.3702 Ry per atom; E above lowest polymorph = 0.125 eV per formula unit; size of the total moment = 0.0 μB/f.u.; DFT formation energy = -0.085 eV/atom; calculated volume = 134.0 Å³/f.u.
1.0
7.812 -3.041 0.000
7.812 3.041 0.000
-0.638 0.000 5.642
Hf Mg In
4 2 6
Cartesian
2.589 0.735 0.491
2.270 -0.735 3.312
12.716 0.735 2.330
12.397 -0.735 5.151
7.334 0.741 4.231
7.653 -0.741 1.410
7.653 2.365 1.410
4.937 0.767 2.380
4.619 -0.767 5.201
10.368 0.767 0.441
10.049 -0.767 3.261
7.334 -2.365 4.231